[1]
VASP calculation (meta-GGA SCAN) on Ta2AgRu at its PBEsol-relaxed geometry.

```
4
Lattice="2.960 0.000 0.000 0.000 4.839 0.013 -1.480 -1.017 4.532" Properties=species:S:1:pos:R:3 pbc="T T T"
Ag 0.000 1.445 4.498
Ru 1.480 0.639 2.241
Ta 0.000 0.104 0.063
Ta 0.000 3.035 2.282
```

## Properties
E_form in eV/atom: 0.12
Energy above the most stable polymorph in this dataset in kJ/mol of formula units: 34

[2]
VASP calculation (meta-GGA SCAN) on YErSn2Pd4 at its PBEsol-relaxed geometry.

```
8
Lattice="-3.154 -2.414 2.527 -1.367 -4.278 -1.409 4.209 -5.407 4.472" Properties=species:S:1:pos:R:3 pbc="T T T"
Y -0.156 -6.050 2.795
Sn -0.075 -3.026 1.400
Sn -0.237 -9.073 4.190
Pd -2.316 -4.849 1.246
Pd 2.102 -4.236 2.961
Pd -2.414 -7.863 2.629
Pd 2.005 -7.250 4.344
Er -4.521 -6.692 1.118
```

## Properties
E_form in eV/atom: -0.94

[3]
VASP calculation (meta-GGA SCAN) on LuWO4 at its PBEsol-relaxed geometry.

```
12
Lattice="5.010 -0.092 0.000 -0.560 5.133 0.000 0.000 0.000 5.361" Properties=species:S:1:pos:R:3 pbc="T T T"
Lu 2.085 3.804 3.929
Lu 2.365 1.237 1.432
W -0.420 3.850 1.045
W -0.140 1.283 4.316
O 3.554 2.468 5.019
O 3.275 5.034 0.341
O 3.371 3.030 2.255
O 3.650 0.464 3.106
O 0.800 4.578 2.255
O 1.079 2.011 3.106
O 1.175 0.007 5.019
O 0.896 2.574 0.341
```

## Properties
Energy above the most stable polymorph in this dataset in kJ/mol of formula units: 0

[4]
VASP calculation (meta-GGA SCAN) on Re2PtRh at its PBEsol-relaxed geometry.

```
4
Lattice="2.708 0.000 0.000 0.000 4.371 0.000 0.000 0.000 4.813" Properties=species:S:1:pos:R:3 pbc="T T T"
Re 0.000 0.000 0.150
Re 0.000 2.186 3.435
Rh 1.354 0.000 2.595
Pt 1.354 2.186 1.040
```

## Properties
E_form in eV/atom: -0.17
Energy above the most stable polymorph in this dataset in kJ/mol of formula units: 0

[5]
VASP calculation (meta-GGA SCAN) on Sc2ZnP at its PBEsol-relaxed geometry.

```
4
Lattice="3.518 0.000 0.000 0.000 4.383 0.000 0.000 0.000 4.383" Properties=species:S:1:pos:R:3 pbc="T T T"
P 0.000 0.000 0.000
Sc 1.759 2.191 0.000
Sc 1.759 0.000 2.191
Zn 0.000 2.191 2.191
```

## Properties
E_form in eV/atom: -0.72
Energy above the most stable polymorph in this dataset in kJ/mol of formula units: 97

[6]
VASP calculation (meta-GGA SCAN) on ZnInTeRh2 at its PBEsol-relaxed geometry.

```
5
Lattice="4.632 0.000 0.000 0.000 4.632 0.000 0.000 0.000 4.636" Properties=species:S:1:pos:R:3 pbc="T T T"
Zn 0.000 0.000 0.000
Te 2.316 2.316 2.318
Rh 0.000 2.316 0.000
Rh 2.316 0.000 0.000
In 0.000 0.000 2.318
```

[7]
VASP calculation (meta-GGA SCAN) on Ba2TlTc at its PBEsol-relaxed geometry.

```
4
Lattice="-0.110 -3.315 1.986 4.630 -1.743 -2.652 0.882 4.812 4.317" Properties=species:S:1:pos:R:3 pbc="T T T"
Ba 5.301 -0.318 3.525
Ba 1.784 -0.321 3.325
Tc 2.430 -2.405 -0.117
Tl 3.548 0.025 0.239
```

## Properties
E_form in eV/atom: 0.41
Energy above the most stable polymorph in this dataset in kJ/mol of formula units: 0

[8]
VASP calculation (meta-GGA SCAN) on BaCuNiGe2 at its PBEsol-relaxed geometry.

```
5
Lattice="4.580 0.000 0.000 0.000 4.580 0.000 0.000 0.000 4.798" Properties=species:S:1:pos:R:3 pbc="T T T"
Ni 0.000 0.000 0.000
Ge 0.000 2.290 0.000
Ge 2.290 0.000 0.000
Ba 2.290 2.290 2.399
Cu 0.000 0.000 2.399
```

## Properties
E_form in eV/atom: -0.10

[9]
VASP calculation (meta-GGA SCAN) on CsV3Se2O12 at its PBEsol-relaxed geometry.

```
36
Lattice="7.088 0.000 0.000 -3.544 6.138 0.000 0.000 0.000 11.658" Properties=species:S:1:pos:R:3 pbc="T T T"
Cs 3.544 2.046 0.340
Cs 0.000 4.092 6.169
V 1.917 0.766 8.231
V 5.466 1.277 8.231
V 0.295 2.044 2.402
V 1.627 5.372 2.402
V 3.249 4.095 8.231
V -1.922 4.861 2.402
Se 0.000 0.000 10.796
Se 3.544 2.046 5.627
Se 0.000 4.092 11.456
Se 0.000 0.000 4.967
O 3.555 4.610 2.052
O 2.225 5.365 7.881
O -2.215 5.383 7.881
O 5.759 0.755 2.052
O 1.319 0.773 2.052
O -0.011 1.529 7.881
O -1.332 3.329 2.679
O 2.217 2.818 8.508
O 3.539 0.511 8.508
O 0.005 5.627 2.679
O 1.327 3.321 2.679
O 4.876 2.809 8.508
O 4.868 1.210 6.351
O -0.062 2.527 0.522
O 1.386 4.821 0.522
O 2.158 1.317 6.351
O 3.606 3.611 6.351
O -1.324 4.928 0.522
O 5.707 0.728 10.044
O -0.059 1.560 4.215
O 2.223 5.307 4.215
O 1.321 0.831 10.044
O 3.603 4.579 10.044
O -2.163 5.410 4.215
```

[10]
VASP calculation (meta-GGA SCAN) on LaPtRh2 at its PBEsol-relaxed geometry.

```
4
Lattice="-2.580 2.588 -2.057 -3.163 -2.691 0.580 1.970 1.839 4.118" Properties=species:S:1:pos:R:3 pbc="T T T"
La -2.871 -0.051 -0.738
Pt 0.000 0.000 0.000
Rh -1.740 2.188 0.661
Rh -2.032 -0.452 1.980
```

## Properties
E_form in eV/atom: -0.39

[11]
VASP calculation (meta-GGA SCAN) on CaAcIn2 at its PBEsol-relaxed geometry.

```
4
Lattice="5.562 0.000 0.000 2.781 4.817 0.000 2.781 1.606 4.542" Properties=species:S:1:pos:R:3 pbc="T T T"
Ac 5.562 3.211 2.271
Ca 0.000 0.000 0.000
In 2.781 1.606 1.135
In 8.344 4.817 3.406
```

## Properties
E_form in eV/atom: -0.60

[12]
VASP calculation (meta-GGA SCAN) on SbIrN3 at its PBEsol-relaxed geometry.

```
5
Lattice="-3.772 0.918 0.379 -0.507 -0.498 -3.835 -0.855 -3.758 0.601" Properties=species:S:1:pos:R:3 pbc="T T T"
Sb -2.566 -1.669 -1.428
Ir 0.000 0.000 0.000
N -0.253 -0.249 -1.918
N -0.427 -1.879 0.300
N -1.886 0.459 0.189
```

[13]
VASP calculation (meta-GGA SCAN) on Mg5Tl at its PBEsol-relaxed geometry.

```
6
Lattice="-1.345 1.635 3.977 2.459 -3.102 2.106 6.456 2.626 1.104" Properties=species:S:1:pos:R:3 pbc="T T T"
Tl 1.229 -1.551 1.053
Mg 2.311 0.668 3.059
Mg 4.724 1.242 1.087
Mg -0.672 0.817 1.989
Mg 4.191 -1.717 2.123
Mg 5.259 0.491 4.128
```

## Properties
E_form in eV/atom: -0.07
Energy above the most stable polymorph in this dataset in kJ/mol of formula units: 2

[14]
VASP calculation (meta-GGA SCAN) on Ca2Mg at its PBEsol-relaxed geometry.

```
6
Lattice="3.694 0.000 0.000 1.847 6.217 -0.044 1.847 2.464 8.860" Properties=species:S:1:pos:R:3 pbc="T T T"
Ca 3.694 3.096 7.053
Ca 5.541 5.993 5.244
Ca 1.847 2.688 3.572
Ca 3.694 5.585 1.763
Mg 3.694 2.110 0.733
Mg 3.694 6.571 8.084
```

## Properties
E_form in eV/atom: -0.03

[15]
VASP calculation (meta-GGA SCAN) on NdCdPd at its PBEsol-relaxed geometry.

```
9
Lattice="-3.745 1.188 -0.661 -2.250 -3.598 6.287 2.232 7.240 0.366" Properties=species:S:1:pos:R:3 pbc="T T T"
Nd -0.967 3.534 -0.182
Nd -1.884 2.757 3.622
Nd -2.786 -0.867 2.222
Pd -0.756 0.015 4.314
Pd 0.738 3.628 2.340
Pd -1.873 0.594 -0.330
Cd 1.668 5.412 0.274
Cd -1.682 -2.689 4.700
Cd -0.005 0.920 1.680
```

## Properties
E_form in eV/atom: -0.75

[16]
VASP calculation (meta-GGA SCAN) on TcIr2Pt at its PBEsol-relaxed geometry.

```
4
Lattice="-1.372 -0.741 2.232 3.963 0.231 2.512 -2.129 4.187 0.081" Properties=species:S:1:pos:R:3 pbc="T T T"
Ir 1.982 0.116 1.256
Ir -1.064 2.094 0.040
Pt -0.686 -0.370 1.116
Tc 0.231 1.839 2.413
```

## Properties
E_form in eV/atom: -0.06
Energy above the most stable polymorph in this dataset in kJ/mol of formula units: 36

[17]
VASP calculation (meta-GGA SCAN) on BaSrBr2 at its PBEsol-relaxed geometry.

```
4
Lattice="-3.133 -0.923 -2.559 -3.619 -4.619 2.731 -5.452 2.534 2.396" Properties=species:S:1:pos:R:3 pbc="T T T"
Sr -1.567 -0.461 -1.280
Ba -4.535 -1.042 2.564
Br -7.700 -1.817 3.353
Br -4.504 -1.191 -0.785
```

[18]
VASP calculation (meta-GGA SCAN) on Na2ZnCd2 at its PBEsol-relaxed geometry.

```
10
Lattice="-2.743 -3.702 -2.114 5.840 -3.143 -2.073 0.204 -3.557 5.966" Properties=species:S:1:pos:R:3 pbc="T T T"
Na -0.231 -4.781 2.595
Na 2.721 -6.909 2.491
Na 3.532 -5.621 -0.816
Na 0.580 -3.494 -0.712
Zn 0.000 0.000 0.000
Zn 3.022 -3.350 1.946
Cd 2.251 -4.161 4.367
Cd 5.128 -4.981 2.071
Cd 3.793 -2.539 -0.474
Cd 0.916 -1.719 1.822
```

## Properties
E_form in eV/atom: -0.02
Energy above the most stable polymorph in this dataset in kJ/mol of formula units: 0

[19]
VASP calculation (meta-GGA SCAN) on ZrAlIr2 at its PBEsol-relaxed geometry.

```
4
Lattice="-0.001 -2.725 -1.249 3.250 -0.533 1.162 -2.172 -2.301 5.020" Properties=species:S:1:pos:R:3 pbc="T T T"
Ir -1.596 -1.691 3.689
Ir -0.576 -0.610 1.331
Al 0.539 -2.780 2.466
Zr 1.625 -1.629 -0.044
```

## Properties
E_form in eV/atom: -1.08

[20]
VASP calculation (meta-GGA SCAN) on Ta3Rh5 at its PBEsol-relaxed geometry.

```
8
Lattice="-1.768 3.277 1.264 -3.457 -0.211 -4.290 -3.298 -3.022 3.223" Properties=species:S:1:pos:R:3 pbc="T T T"
Rh 0.000 0.000 0.000
Rh -1.729 -0.105 -2.145
Rh -1.649 -1.511 1.611
Rh -5.850 -0.738 -0.152
Rh -2.673 0.782 0.349
Ta -3.378 -1.616 -0.533
Ta -4.306 0.805 -1.993
Ta -4.217 -0.760 2.189
```

## Properties
E_form in eV/atom: -0.60

[21]
VASP calculation (meta-GGA SCAN) on Mg2ReRu at its PBEsol-relaxed geometry.

```
4
Lattice="2.687 -0.010 0.000 -0.846 2.551 0.000 0.000 0.000 8.904" Properties=species:S:1:pos:R:3 pbc="T T T"
Mg 0.000 0.000 2.161
Mg 0.000 0.000 6.743
Re 0.921 1.271 4.452
Ru 0.921 1.271 0.000
```

## Properties
E_form in eV/atom: 0.17
Energy above the most stable polymorph in this dataset in kJ/mol of formula units: 72

[22]
VASP calculation (meta-GGA SCAN) on Zr2TlIn at its PBEsol-relaxed geometry.

```
4
Lattice="-2.402 -0.483 3.700 3.730 -0.416 2.368 -0.577 4.753 -2.415" Properties=species:S:1:pos:R:3 pbc="T T T"
Tl 0.000 0.000 0.000
Zr -1.158 1.910 2.159
Zr 1.909 1.944 1.493
In 0.664 -0.450 3.034
```

## Properties
E_form in eV/atom: -0.37
Energy above the most stable polymorph in this dataset in kJ/mol of formula units: 1

[23]
VASP calculation (meta-GGA SCAN) on Be2TlZn at its PBEsol-relaxed geometry.

```
4
Lattice="-0.219 -1.107 -3.124 -2.000 -2.799 1.133 -4.072 2.646 -0.652" Properties=species:S:1:pos:R:3 pbc="T T T"
Be -4.039 2.625 -0.647
Be -2.089 -1.317 -1.152
Tl -1.967 1.278 -0.315
Zn -4.305 0.124 -1.507
```

## Properties
E_form in eV/atom: 0.51
Energy above the most stable polymorph in this dataset in kJ/mol of formula units: 5

[24]
VASP calculation (meta-GGA SCAN) on AlZn at its PBEsol-relaxed geometry.

```
4
Lattice="-0.506 1.111 2.510 -2.691 0.298 -0.675 -1.496 -7.087 2.836" Properties=species:S:1:pos:R:3 pbc="T T T"
Zn -1.178 -3.823 3.007
Zn -1.917 -2.559 0.746
Al -0.452 -0.387 1.632
Al -2.643 -5.996 2.121
```

## Properties
E_form in eV/atom: 0.00

[25]
VASP calculation (meta-GGA SCAN) on CrIr2Pb at its PBEsol-relaxed geometry.

```
4
Lattice="2.937 0.000 0.000 0.000 4.643 0.000 0.000 0.000 4.694" Properties=species:S:1:pos:R:3 pbc="T T T"
Cr 0.000 2.322 2.347
Ir 0.000 0.000 0.000
Ir 1.468 0.000 2.347
Pb 1.468 2.322 0.000
```

## Properties
E_form in eV/atom: 0.53

[26]
VASP calculation (meta-GGA SCAN) on Ba3ZnMo at its PBEsol-relaxed geometry.

```
5
Lattice="-0.295 1.974 -5.475 -2.336 -5.061 -1.699 -5.330 2.109 1.048" Properties=species:S:1:pos:R:3 pbc="T T T"
Zn -3.981 -0.489 -3.063
Mo 0.000 0.000 0.000
Ba -1.168 -2.530 -0.850
Ba -2.665 1.055 0.524
Ba -0.147 0.987 -2.737
```

## Properties
E_form in eV/atom: 0.80

[27]
VASP calculation (meta-GGA SCAN) on Be2CuBr at its PBEsol-relaxed geometry.

```
4
Lattice="-0.708 0.886 -2.760 -1.019 -2.836 -0.649 -5.437 1.522 1.884" Properties=species:S:1:pos:R:3 pbc="T T T"
Be -3.689 1.032 1.278
Be -1.748 0.489 0.606
Cu -3.582 -0.214 -0.763
Br -0.354 0.443 -1.380
```

## Properties
Energy above the most stable polymorph in this dataset in kJ/mol of formula units: 80

What did we get for calculated total energy? Answer: -49.715 -36.076 -27.945 -61.711 -13.821 -29.687 -46.219 -21.921 -13.393 -45.602 -42.330 -25.921 -16.277 -8.126 -36.343 -61.926 -26.746 -16.578 -46.245 -46.675 -28.793 -42.152 -23.138 -10.634 -58.563 -32.612 -10.551 eV/atom, in the order shown.